# Pu2Mn2Al2C | the Alexandria database | PBE | optimized geometry
# - Energy relative to the elements: -0.028 eV/atom
# - Space group: C2/m, No. 12
# - Theoretical density: 9.7 g/cm3
data_Pu2Mn2Al2C
_chemical_formula_sum 'Pu2 Mn2 Al2 C1'
_symmetry_space_group_name_H-M 'P 1'
_symmetry_Int_Tables_number 1
_cell_length_a 5.815
_cell_length_b 5.815
_cell_length_c 5.603
_cell_angle_alpha 106.06
_cell_angle_beta 106.06
_cell_angle_gamma 38.82
loop_
_symmetry_equiv_pos_as_xyz
'x,y,z'
loop_
_atom_site_label
_atom_site_type_symbol
_atom_site_fract_x
_atom_site_fract_y
_atom_site_fract_z
_atom_site_occupancy
Pu1 Pu 0.001 0.001 0.241 1
Pu2 Pu 0.999 0.999 0.759 1
Mn1 Mn 0.311 0.311 0.413 1
Mn2 Mn 0.689 0.689 0.587 1
Al1 Al 0.298 0.298 0.880 1
Al2 Al 0.702 0.702 0.120 1
C1 C 0.500 0.500 0.500 1

# Ba6SnSb2I3 | the Alexandria database | PBE | optimized geometry
# - Raw formation energy: -1248.4 meV/atom
# - Space group: C2/m, No. 12
# - Theoretical density: 4.6 g/cm3
data_Ba6SnSb2I3
_chemical_formula_sum 'Ba6 Sn1 Sb2 I3'
_symmetry_space_group_name_H-M 'P 1'
_symmetry_Int_Tables_number 1
_cell_length_a 11.510
_cell_length_b 11.510
_cell_length_c 10.419
_cell_angle_alpha 104.00
_cell_angle_beta 104.00
_cell_angle_gamma 25.16
loop_
_symmetry_equiv_pos_as_xyz
'x,y,z'
loop_
_atom_site_label
_atom_site_type_symbol
_atom_site_fract_x
_atom_site_fract_y
_atom_site_fract_z
_atom_site_occupancy
Ba1 Ba 0.007 0.007 0.240 1
Ba2 Ba 0.325 0.325 0.435 1
Ba3 Ba 0.340 0.340 0.897 1
Ba4 Ba 0.660 0.660 0.103 1
Ba5 Ba 0.675 0.675 0.565 1
Ba6 Ba 0.993 0.993 0.760 1
Sn1 Sn 0.500 0.500 0.000 1
Sb1 Sb 0.166 0.166 0.334 1
Sb2 Sb 0.834 0.834 0.666 1
I1 I 0.168 0.168 0.832 1
I2 I 0.500 0.500 0.500 1
I3 I 0.832 0.832 0.168 1

# Pm3Sc2 | the Alexandria database | PBE | optimized geometry
# - Polymorph energy (0 for the lowest one): 151 meV/atom
# - Energy relative to the elements: 0.210 eV/atom
# - Space group: Ibam, No. 72
# - Theoretical density: 5.8 g/cm3
data_Pm3Sc2
_chemical_formula_sum 'Pm6 Sc4'
_symmetry_space_group_name_H-M 'P 1'
_symmetry_Int_Tables_number 1
_cell_length_a 9.102
_cell_length_b 9.102
_cell_length_c 9.102
_cell_angle_alpha 140.36
_cell_angle_beta 57.03
_cell_angle_gamma 140.73
loop_
_symmetry_equiv_pos_as_xyz
'x,y,z'
loop_
_atom_site_label
_atom_site_type_symbol
_atom_site_fract_x
_atom_site_fract_y
_atom_site_fract_z
_atom_site_occupancy
Pm1 Pm 0.105 0.596 0.701 1
Pm2 Pm 0.250 0.250 0.000 1
Pm3 Pm 0.395 0.096 0.490 1
Pm4 Pm 0.605 0.904 0.510 1
Pm5 Pm 0.750 0.750 0.000 1
Pm6 Pm 0.895 0.404 0.299 1
Sc1 Sc 0.195 0.119 0.313 1
Sc2 Sc 0.305 0.619 0.924 1
Sc3 Sc 0.695 0.381 0.076 1
Sc4 Sc 0.805 0.881 0.687 1

# SrTaO3 | the Alexandria database | PBE | optimized geometry
# - Raw formation energy: -2709.7 meV/atom
# - Space group: C2/c, No. 15
# - Theoretical density: 7.0 g/cm3
data_SrTaO3
_chemical_formula_sum 'Sr4 Ta4 O12'
_symmetry_space_group_name_H-M 'P 1'
_symmetry_Int_Tables_number 1
_cell_length_a 7.470
_cell_length_b 7.470
_cell_length_c 5.446
_cell_angle_alpha 93.73
_cell_angle_beta 93.73
_cell_angle_gamma 83.80
loop_
_symmetry_equiv_pos_as_xyz
'x,y,z'
loop_
_atom_site_label
_atom_site_type_symbol
_atom_site_fract_x
_atom_site_fract_y
_atom_site_fract_z
_atom_site_occupancy
Sr1 Sr 0.104 0.325 0.294 1
Sr2 Sr 0.325 0.104 0.794 1
Sr3 Sr 0.675 0.896 0.206 1
Sr4 Sr 0.896 0.675 0.706 1
Ta1 Ta 0.237 0.763 0.250 1
Ta2 Ta 0.433 0.567 0.750 1
Ta3 Ta 0.567 0.433 0.250 1
Ta4 Ta 0.763 0.237 0.750 1
O1 O 0.007 0.236 0.870 1
O2 O 0.192 0.614 0.534 1
O3 O 0.236 0.007 0.370 1
O4 O 0.307 0.487 0.077 1
O5 O 0.386 0.808 0.966 1
O6 O 0.487 0.307 0.577 1
O7 O 0.513 0.693 0.423 1
O8 O 0.614 0.192 0.034 1
O9 O 0.693 0.513 0.923 1
O10 O 0.764 0.993 0.630 1
O11 O 0.808 0.386 0.466 1
O12 O 0.993 0.764 0.130 1

# K2PtPb | the Alexandria database | PBE | optimized geometry
# - Energy relative to the elements: -0.163 eV/atom
# - Space group: Cm, No. 8
# - Theoretical density: 4.9 g/cm3
data_K2PtPb
_chemical_formula_sum 'K2 Pt1 Pb1'
_symmetry_space_group_name_H-M 'P 1'
_symmetry_Int_Tables_number 1
_cell_length_a 4.755
_cell_length_b 4.755
_cell_length_c 8.837
_cell_angle_alpha 106.14
_cell_angle_beta 106.14
_cell_angle_gamma 60.10
loop_
_symmetry_equiv_pos_as_xyz
'x,y,z'
loop_
_atom_site_label
_atom_site_type_symbol
_atom_site_fract_x
_atom_site_fract_y
_atom_site_fract_z
_atom_site_occupancy
K1 K 0.000 0.000 0.000 1
K2 K 0.187 0.187 0.542 1
Pt1 Pt 0.761 0.761 0.272 1
Pb1 Pb 0.427 0.427 0.271 1

DOS at the Fermi energy readings, ordered: 15.7 6.6 16.0 0.0 2.0 states/eV/cell
Electronic total energy readings, ordered: -9.130 -3.618 -5.173 -8.392 -3.149 eV per atom
M_tot readings, ordered: 14.05 0.76 0.00 0.00 0.00 μB/f.u.